1.
A relaxed structure of Pm6TlHg3, computed with GGA-PBE.

The structure in extended XYZ format:
```
20
Lattice="5.3433 0.0000 0.0000 0.0000 9.1849 -2.8325 0.0000 0.2420 11.8431" Properties=species:S:1:pos:R:3 pbc="T T T"
Pm 1.3358 1.1776 1.5069
Hg 1.3358 3.6731 8.2212
Hg 4.0075 2.0824 -0.2948
Pm 4.0075 1.6168 7.6387
Pm 1.3358 1.2272 10.1497
Pm 4.0075 3.2769 2.7725
Hg 4.0075 5.7538 0.7894
Hg 1.3358 7.3445 9.3054
Hg 4.0075 4.5021 6.0341
Pm 1.3358 6.1500 6.2381
Pm 1.3358 2.5190 5.2179
Pm 1.3358 4.3625 -0.2147
Tl 4.0075 0.5602 4.4894
Tl 1.3358 8.8667 4.5212
Pm 4.0075 6.9079 3.7927
Pm 1.3358 7.8101 1.3719
Pm 4.0075 8.2493 7.5037
Hg 1.3358 4.9248 2.9765
Pm 4.0075 8.1997 -1.1391
Pm 4.0075 5.0644 9.2253
```

Results
DFT total energy (eV per atom): -3.51
Symmetry: No. 11



2.
A relaxed structure of PmTl2Hg, computed with GGA-PBE.

The structure in extended XYZ format:
```
4
Lattice="-2.7661 2.7553 -2.6693 -3.6780 -2.9497 0.7666 -1.2182 2.5242 3.8679" Properties=species:S:1:pos:R:3 pbc="T T T"
Tl -0.6091 1.2621 1.9340
Hg -1.3831 1.3777 -1.3347
Pm -3.8312 1.1649 0.9826
Tl -1.8390 -1.4749 0.3833
```

Results
DFT total energy (eV per atom): -2.76
Symmetry: No. 123



3.
A relaxed structure of PmTlHg, computed with GGA-PBE.

The structure in extended XYZ format:
```
3
Lattice="-0.1948 4.1622 -2.7671 -4.1198 2.8363 0.0355 0.0690 4.4829 2.2175" Properties=species:S:1:pos:R:3 pbc="T T T"
Hg -1.0614 2.8704 -0.1285
Tl -2.1228 5.7407 -0.2571
Pm 0.0000 0.0000 0.0000
```

Results
DFT total energy (eV per atom): -2.81
Symmetry: No. 216